First-principles (PBE) data for Ba3ZrC after structural relaxation, as listed in Alexandria.

Computed properties:
The formation enthalpy at 0 K is 938 meV per atom. The energy is -3.7701 eV/atom. The calculation puts the volume at 193.5 Å³/cell.

Lattice parameters (Å, degrees): 5.784 5.784 5.784 90.00 90.00 90.00
Fractional positions:
Ba1 0.000 0.000 0.500
Ba2 0.000 0.500 0.000
Ba3 0.500 0.000 0.000
Zr1 0.500 0.500 0.500
C1 0.000 0.000 0.000